16
Lattice="6.148 0.000 0.000 0.000 6.148 0.000 0.000 0.000 9.260" Properties=species:S:1:pos:R:3 comment="CsCeF6, optimized geometry, DFT PBE-GGA" final_energy_ev_per_atom=-5.296 vol_a3_per_atom=21.88 m_tot_mub_per_fu=1.09 e_above_lowest_polymorph_ev_per_atom=0.000 rho_g_cm3=3.7 formation_energy_uncorrected_kcal_per_mol_atoms=-70.190 pbc="T T T"
Cs 0.000 0.000 0.000
Cs 0.000 0.000 4.630
Ce 3.074 3.074 2.315
Ce 3.074 3.074 6.945
F 1.484 1.708 2.007
F 1.484 1.708 7.253
F 1.708 4.664 2.623
F 1.708 4.664 6.637
F 2.305 2.437 4.630
F 2.437 3.844 0.000
F 3.711 2.305 0.000
F 3.844 3.711 4.630
F 4.440 1.484 2.623
F 4.440 1.484 6.637
F 4.664 4.440 2.007
F 4.664 4.440 7.253